No. 1
Pu2Al4Zn3Cu | PBE-GGA | relaxed

Cell lengths 4.178, 4.178, 10.682 Å; angles 90.00, 90.00, 90.00 degrees
Atoms (fractional coordinates):
Zn 0.000 0.500 0.141
Cu 0.500 0.500 0.500
Pu 0.000 0.500 0.744
Al 0.000 0.000 0.000
Pu 0.500 0.000 0.256
Zn 0.500 0.000 0.859
Al 0.000 0.500 0.371
Al 0.500 0.000 0.629
Al 0.500 0.500 0.000
Zn 0.000 0.000 0.500

The calculation puts the energy of formation from the pure elements at -0.18 eV/atom. Its space group is No. 115.

No. 2
CaAcCu4 | PBE-GGA | relaxed

Cell lengths 5.467, 5.467, 5.467 Å; angles 60.00, 60.00, 60.00 degrees
Atoms (fractional coordinates):
Ac 0.250 0.250 0.250
Ca 0.000 0.000 0.000
Cu 0.629 0.629 0.629
Cu 0.113 0.629 0.629
Cu 0.629 0.113 0.629
Cu 0.629 0.629 0.113

The calculation puts the energy of formation from the pure elements at -0.03 eV/atom. Its offset from the most stable computed form is 0.117 eV/atom. Its space group is No. 216.

Per-record calculated volume, Å³ per cell: 186.5, 115.6